[1]
{"formula": "Sr3Ca2Pt2", "functional": "GGA-PBE", "state": "optimized geometry", "lattice_angstrom": [[-3.705, 1.483, -1.336], [-1.221, -3.566, 6.061], [4.759, 7.689, 1.956]], "species": ["Sr", "Ca", "Sr", "Ca", "Pt", "Pt", "Sr"], "frac_coords": [[0.809, 0.180, 0.438], [0.348, 0.530, 0.166], [0.500, 0.000, 0.000], [0.652, 0.470, 0.834], [0.023, 0.841, 0.204], [0.977, 0.159, 0.796], [0.191, 0.820, 0.562]], "crystal_system": "monoclinic", "formation_energy_ev_per_atom": -0.63}


[2]
{"formula": "InS2O2", "functional": "GGA-PBE", "state": "optimized geometry", "lattice_angstrom": [[-1.787, -2.375, 1.020], [1.904, -0.371, 2.472], [-4.956, 4.434, 6.481]], "species": ["In", "O", "O", "S", "S"], "frac_coords": [[0.000, 0.000, 0.000], [0.560, 0.560, 0.880], [0.440, 0.440, 0.120], [0.750, 0.250, 0.500], [0.250, 0.750, 0.500]], "crystal_system": "tetragonal", "formation_energy_uncorrected_ev_per_atom": 0.048, "relative_energy_ev_per_atom": 0.005}


[3]
{"formula": "Ba2Hf2Pt", "functional": "GGA-PBE", "state": "optimized geometry", "lattice_angstrom": [[-4.182, -5.056, 2.656], [0.412, -3.550, -6.110], [4.833, -2.931, 2.029]], "species": ["Ba", "Hf", "Pt", "Hf", "Hf", "Ba", "Ba", "Ba", "Pt", "Hf"], "frac_coords": [[0.318, 0.182, 0.500], [0.653, 0.153, 0.000], [0.500, 0.500, 0.000], [0.847, 0.653, 0.000], [0.347, 0.847, 0.000], [0.682, 0.818, 0.500], [0.182, 0.682, 0.500], [0.818, 0.318, 0.500], [0.000, 0.000, 0.000], [0.153, 0.347, 0.000]], "crystal_system": "tetragonal", "formation_energy_ev_per_atom": 0.08, "relative_energy_ev_per_atom": 0.000}


[4]
{"formula": "Ho4ThSc3", "functional": "GGA-PBE", "state": "optimized geometry", "lattice_angstrom": [[0.259, -0.437, -3.316], [6.918, -5.741, -3.789], [-4.532, -6.859, 2.260]], "species": ["Ho", "Ho", "Th", "Sc", "Sc", "Ho", "Ho", "Sc"], "frac_coords": [[0.379, 0.877, 0.390], [0.353, 0.390, 0.877], [0.500, 0.000, 0.000], [0.000, 0.500, 0.500], [0.740, 0.260, 0.260], [0.647, 0.610, 0.123], [0.621, 0.123, 0.610], [0.260, 0.740, 0.740]], "crystal_system": "monoclinic", "formation_energy_ev_per_atom": 0.14, "relative_energy_ev_per_atom": 0.104}


Let's list electronic total energy in order: -25.55; -20.67; -58.80; -43.57 eV for the cell shown.